An optimized crystal structure of K2TiWO, computed with PBE with a Hubbard U.

```
5
Lattice="6.3875 0.0000 0.0000 0.0000 5.0525 0.0000 0.0000 0.0000 6.3875" Properties=species:S:1:pos:R:3 pbc="T T T"
K 3.1937 0.0000 0.0000
K 0.0000 0.0000 3.1937
W 0.0000 0.0000 0.0000
Ti 0.0000 2.5263 0.0000
O 3.1937 2.5263 3.1937
```

Properties
DOS(E_F), states/eV per cell: 9.286
E_tot, eV/atom: -2.940
Density, Mg/m³: 2.63
Size of the total moment, μB per formula unit: 1.8